Entry from Alexandria via LeMat-Bulk: RbLiPuSe3 after structural relaxation (GGA-PBE).

Cell: 4.278 9.263 9.745 Å, 108.58 90.00 90.00°
Sites, in units of the cell vectors:
Rb 0.250 0.211 0.257
Rb 0.750 0.789 0.743
Li 0.250 0.081 0.596
Li 0.750 0.919 0.404
Pu 0.250 0.678 0.152
Pu 0.750 0.322 0.848
Se 0.750 0.870 0.131
Se 0.250 0.130 0.869
Se 0.250 0.794 0.450
Se 0.750 0.206 0.550
Se 0.750 0.471 0.154
Se 0.250 0.529 0.846

Properties
The density of states at the Fermi level comes out at 20.26 states/eV/cell. Its total energy is -5.91 eV per atom. The value obtained for the formation energy from raw total energies is -1.298 eV per atom.